# 1
# PaNbNiN3

A relaxed PaNbNiN3 crystal (GGA-PBE, the Alexandria database).

Computed properties:
Density, Mg/m³: 9.73
E_tot, eV per atom: -9.316

abc: 6.618 3.233 6.974
angles: 90.00 103.79 90.00
Space group P2_1/m (No. 11)
Symmetry-distinct sites (fractional):
Pa (0.192, 0.250, 0.225) [2 per cell]
Nb (0.333, 0.750, 0.832) [2 per cell]
Ni (0.115, 0.250, 0.596) [2 per cell]
N (0.107, 0.250, 0.873) [2 per cell]
N (0.244, 0.750, 0.504) [2 per cell]
N (0.428, 0.750, 0.153) [2 per cell]



# 2
# Nb2NiPdN

A relaxed Nb2NiPdN crystal (GGA-PBE, the Alexandria database).

Computed properties:
Density, Mg/m³: 8.77
E_tot, eV per atom: -8.351

abc: 4.247 4.247 3.832
angles: 90.00 90.00 90.00
Space group P4/mmm (No. 123)
Symmetry-distinct sites (fractional):
Nb (0.000, 0.500, 0.000) [2 per cell]
Ni (0.000, 0.000, 0.500) [1 per cell]
Pd (0.500, 0.500, 0.500) [1 per cell]
N (0.000, 0.000, 0.000) [1 per cell]



# 3
# PrNb2NiN4

A relaxed PrNb2NiN4 crystal (GGA-PBE, the Alexandria database).

Computed properties:
Density, Mg/m³: 7.72
E_tot, eV per atom: -8.881

abc: 3.252 10.748 10.872
angles: 90.00 90.00 90.00
Space group Cmcm (No. 63)
Symmetry-distinct sites (fractional):
Pr (0.000, 0.106, 0.250) [4 per cell]
Nb (0.000, 0.369, 0.057) [8 per cell]
Ni (0.000, 0.162, 0.750) [4 per cell]
N (0.000, 0.000, 0.000) [4 per cell]
N (0.000, 0.271, 0.609) [8 per cell]
N (0.000, 0.442, 0.250) [4 per cell]



Number 1: DOS at the Fermi energy 3.881 states/eV per cell. Number 2: DOS at the Fermi energy 4.434 states/eV per cell. Number 3: DOS at the Fermi energy 5.924 states/eV per cell.